No. 1
# LiCdBr2 (PBE, optimized geometry)
# Crystal system ... monoclinic
# Raw formation energy ... -0.86 eV/atom
# SG ... Cm
# Polymorph energy (0 for the lowest one) ... 0.0041 eV/atom
data_LiCdBr2
_chemical_formula_sum 'Li1 Cd1 Br2'
_cell_length_a 7.135
_cell_length_b 7.135
_cell_length_c 4.300
_cell_angle_alpha 92.73
_cell_angle_beta 92.73
_cell_angle_gamma 33.74
_symmetry_space_group_name_H-M 'P 1'
_symmetry_Int_Tables_number 1
_symmetry_space_group_name_Hall 'P 1'
loop_
_atom_site_label
_atom_site_type_symbol
_atom_site_fract_x
_atom_site_fract_y
_atom_site_fract_z
Br1 Br 0.021 0.021 0.096
Br2 Br 0.747 0.747 0.565
Cd1 Cd 0.522 0.522 0.599
Li1 Li 0.210 0.210 0.240

No. 2
# Pu2ReSi (PBE, optimized geometry)
# Crystal system ... tetragonal
# Raw formation energy ... -0.11 eV/atom
# SG ... P4/mmm
# Polymorph energy (0 for the lowest one) ... 0.0000 eV/atom
data_Pu2ReSi
_chemical_formula_sum 'Pu2 Re1 Si1'
_cell_length_a 3.687
_cell_length_b 3.687
_cell_length_c 5.594
_cell_angle_alpha 90.00
_cell_angle_beta 90.00
_cell_angle_gamma 90.00
_symmetry_space_group_name_H-M 'P 1'
_symmetry_Int_Tables_number 1
_symmetry_space_group_name_Hall 'P 1'
loop_
_atom_site_label
_atom_site_type_symbol
_atom_site_fract_x
_atom_site_fract_y
_atom_site_fract_z
Re1 Re 0.500 0.500 0.000
Si1 Si 0.500 0.500 0.500
Pu1 Pu 0.000 0.000 0.741
Pu2 Pu 0.000 0.000 0.259

No. 3
# RbNaMn2W (PBE, optimized geometry)
# Formation energy ... 3087 meV/atom
# Crystal system ... tetragonal
# SG ... P4/mmm
data_RbNaMn2W
_chemical_formula_sum 'Rb1 Na1 Mn2 W1'
_cell_length_a 4.528
_cell_length_b 4.514
_cell_length_c 4.528
_cell_angle_alpha 90.00
_cell_angle_beta 90.00
_cell_angle_gamma 90.00
_symmetry_space_group_name_H-M 'P 1'
_symmetry_Int_Tables_number 1
_symmetry_space_group_name_Hall 'P 1'
loop_
_atom_site_label
_atom_site_type_symbol
_atom_site_fract_x
_atom_site_fract_y
_atom_site_fract_z
Na1 Na 0.000 0.500 0.000
Mn1 Mn 0.000 0.000 0.500
Mn2 Mn 0.500 0.000 0.000
Rb1 Rb 0.000 0.000 0.000
W1 W 0.500 0.500 0.500

No. 4
# HfCuIrPd (PBE, optimized geometry)
# Formation energy ... -572 meV/atom
# Crystal system ... cubic
# SG ... F-43m
data_HfCuIrPd
_chemical_formula_sum 'Hf1 Cu1 Ir1 Pd1'
_cell_length_a 4.461
_cell_length_b 4.461
_cell_length_c 4.461
_cell_angle_alpha 60.00
_cell_angle_beta 60.00
_cell_angle_gamma 60.00
_symmetry_space_group_name_H-M 'P 1'
_symmetry_Int_Tables_number 1
_symmetry_space_group_name_Hall 'P 1'
loop_
_atom_site_label
_atom_site_type_symbol
_atom_site_fract_x
_atom_site_fract_y
_atom_site_fract_z
Ir1 Ir 0.500 0.500 0.500
Hf1 Hf 0.750 0.750 0.750
Cu1 Cu 0.250 0.250 0.250
Pd1 Pd 0.000 0.000 0.000

No. 5
# Mn3Cd4 (PBE, optimized geometry)
# Formation energy ... 242 meV/atom
# Crystal system ... tetragonal
# SG ... I4/mmm
# Polymorph energy (0 for the lowest one) ... 0.0000 eV/atom
data_Mn3Cd4
_chemical_formula_sum 'Mn3 Cd4'
_cell_length_a 14.173
_cell_length_b 14.173
_cell_length_c 14.173
_cell_angle_alpha 168.19
_cell_angle_beta 168.19
_cell_angle_gamma 16.74
_symmetry_space_group_name_H-M 'P 1'
_symmetry_Int_Tables_number 1
_symmetry_space_group_name_Hall 'P 1'
loop_
_atom_site_label
_atom_site_type_symbol
_atom_site_fract_x
_atom_site_fract_y
_atom_site_fract_z
Mn1 Mn 0.000 0.000 0.000
Mn2 Mn 0.731 0.731 0.000
Mn3 Mn 0.269 0.269 0.000
Cd1 Cd 0.840 0.840 0.000
Cd2 Cd 0.572 0.572 0.000
Cd3 Cd 0.428 0.428 0.000
Cd4 Cd 0.160 0.160 0.000

No. 6
# Ca2PHPt6 (PBE, optimized geometry)
# Crystal system ... orthorhombic
# Final energy ... -55.880 eV per formula unit
# SG ... Pmmn
data_Ca2PHPt6
_chemical_formula_sum 'Ca4 P2 H2 Pt12'
_cell_length_a 5.794
_cell_length_b 6.867
_cell_length_c 8.336
_cell_angle_alpha 90.00
_cell_angle_beta 90.00
_cell_angle_gamma 90.00
_symmetry_space_group_name_H-M 'P 1'
_symmetry_Int_Tables_number 1
_symmetry_space_group_name_Hall 'P 1'
loop_
_atom_site_label
_atom_site_type_symbol
_atom_site_fract_x
_atom_site_fract_y
_atom_site_fract_z
Ca1 Ca 0.500 0.777 0.219
Ca2 Ca 0.000 0.223 0.719
Ca3 Ca 0.500 0.777 0.781
Ca4 Ca 0.000 0.223 0.281
P1 P 0.500 0.174 0.500
P2 P 0.000 0.826 0.000
H1 H 0.000 0.636 0.500
H2 H 0.500 0.364 0.000
Pt1 Pt 0.500 0.316 0.249
Pt2 Pt 0.500 0.316 0.751
Pt3 Pt 0.000 0.684 0.251
Pt4 Pt 0.000 0.684 0.749
Pt5 Pt 0.240 0.924 0.500
Pt6 Pt 0.760 0.924 0.500
Pt7 Pt 0.265 0.509 0.500
Pt8 Pt 0.735 0.509 0.500
Pt9 Pt 0.765 0.491 0.000
Pt10 Pt 0.235 0.491 0.000
Pt11 Pt 0.260 0.076 0.000
Pt12 Pt 0.740 0.076 0.000

Table of spin magnetization (μB per cell), in record order: 0.000; 8.471; 0.077; 0.000; 3.971; 0.000